a) Crystalline La5Pr4Ho at its relaxed geometry, computed with PBE.

Output
- M_tot: 0.00 μB/cell

Unit cell a=8.5679 b=7.0541 c=12.3698 alpha=90.00 beta=90.00 gamma=90.00
Fractional positions:
La 0.3770 0.7476 0.8541
La 0.3770 0.2524 0.8541
La 0.0991 0.5000 0.0000
La 0.3770 0.7476 0.1459
La 0.3770 0.2524 0.1459
La 0.6230 0.7524 0.3541
La 0.6230 0.2476 0.3541
La 0.9009 0.0000 0.5000
La 0.6230 0.2476 0.6459
La 0.6230 0.7524 0.6459
Pr 0.0174 0.0000 0.7434
Pr 0.7473 0.7501 0.0000
Pr 0.7473 0.2499 0.0000
Pr 0.0174 0.0000 0.2566
Pr 0.9826 0.5000 0.2434
Pr 0.2527 0.7499 0.5000
Pr 0.2527 0.2501 0.5000
Pr 0.9826 0.5000 0.7566
Ho 0.0985 0.0000 0.0000
Ho 0.9015 0.5000 0.5000

---

b) Crystalline La5Pr4Ho at its relaxed geometry, computed with PBE.

Output
- M_tot: 0.00 μB/cell

Unit cell a=3.6584 b=11.8153 c=12.3172 alpha=135.94 beta=98.54 gamma=90.00
Fractional positions:
La 0.2051 0.3036 0.4102
La 0.1917 0.7960 0.3834
La 0.8083 0.2040 0.6166
La 0.5000 0.5000 0.0000
La 0.7949 0.6964 0.5898
Pr 0.6060 0.9135 0.2120
Pr 0.0849 0.3744 0.1698
Pr 0.3940 0.0865 0.7880
Pr 0.9151 0.6256 0.8302
Ho 0.5000 0.0000 0.0000

---

What should be chosen as the most stable of them? Choose b).

---

a) Crystalline LaPr6Ho3 at its relaxed geometry, computed with PBE.

Output
- M_tot: 0.00 μB/cell

Unit cell a=9.2580 b=9.1495 c=9.1495 alpha=115.39 beta=90.00 gamma=90.00
Fractional positions:
La 0.0256 0.2211 0.7789
La 0.5256 0.7789 0.2211
Pr 0.1015 0.8084 0.6740
Pr 0.6015 0.6740 0.8084
Pr 0.2649 0.5269 0.8197
Pr 0.7649 0.8197 0.5269
Pr 0.2810 0.9535 0.0465
Pr 0.6627 0.2765 0.7235
Pr 0.1627 0.7235 0.2765
Pr 0.7810 0.0465 0.9535
Pr 0.2649 0.1803 0.4731
Pr 0.7649 0.4731 0.1803
Pr 0.1015 0.3260 0.1916
Pr 0.6015 0.1916 0.3260
Ho 0.4340 0.9685 0.6784
Ho 0.9340 0.6784 0.9685
Ho 0.4152 0.5534 0.4466
Ho 0.9152 0.4466 0.5534
Ho 0.9340 0.0315 0.3216
Ho 0.4340 0.3216 0.0315

---

b) Crystalline LaPr6Ho3 at its relaxed geometry, computed with PBE.

Output
- M_tot: 0.00 μB/cell

Unit cell a=5.6405 b=10.3080 c=12.7741 alpha=90.00 beta=103.67 gamma=90.00
Fractional positions:
La 0.5000 0.5000 0.5000
La 0.0000 0.0000 0.0000
Pr 0.4364 0.8266 0.8533
Pr 0.4975 0.8204 0.5015
Pr 0.3460 0.4982 0.2318
Pr 0.6540 0.5018 0.7682
Pr 0.5025 0.1796 0.4985
Pr 0.5636 0.1734 0.1467
Pr 0.9364 0.6734 0.3533
Pr 0.9975 0.6796 0.0015
Pr 0.8460 0.0018 0.7318
Pr 0.1540 0.9982 0.2682
Pr 0.0025 0.3204 0.9985
Pr 0.0636 0.3266 0.6467
Ho 0.4485 0.1715 0.8649
Ho 0.5000 0.5000 0.0000
Ho 0.5515 0.8285 0.1351
Ho 0.9485 0.3285 0.3649
Ho 0.0000 0.0000 0.5000
Ho 0.0515 0.6715 0.6351

---

What should be chosen as the most stable of them? Choose a).

---

a) Crystalline La2PrHo5 at its relaxed geometry, computed with PBE.

Output
- M_tot: 0.00 μB/cell

Unit cell a=5.1328 b=7.1857 c=14.3889 alpha=90.00 beta=90.00 gamma=90.00
Fractional positions:
La 0.5000 0.2554 0.6264
La 0.5000 0.7446 0.3736
La 0.5000 0.2446 0.1264
La 0.5000 0.7554 0.8736
Pr 0.0000 0.0000 0.5000
Pr 0.0000 0.5000 0.0000
Ho 0.0000 0.0000 0.0000
Ho 0.0000 0.5000 0.5000
Ho 0.0000 0.5060 0.7488
Ho 0.0000 0.4940 0.2512
Ho 0.0000 0.9940 0.2488
Ho 0.0000 0.0060 0.7512
Ho 0.5000 0.2547 0.8749
Ho 0.5000 0.7453 0.1251
Ho 0.5000 0.2453 0.3749
Ho 0.5000 0.7547 0.6251

---

b) Crystalline La2PrHo5 at its relaxed geometry, computed with PBE.

Output
- M_tot: 0.00 μB/cell

Unit cell a=8.5331 b=20.4145 c=13.1430 alpha=36.68 beta=60.53 gamma=51.68
Fractional positions:
La 0.3029 0.0457 0.6890
La 0.7990 0.0869 0.8702
La 0.8992 0.3455 0.5678
La 0.5838 0.6828 0.1433
La 0.4162 0.3172 0.8567
La 0.1008 0.6545 0.4322
La 0.2010 0.9131 0.1298
La 0.6971 0.9543 0.3110
Pr 0.9280 0.2669 0.1382
Pr 0.4327 0.2919 0.3828
Pr 0.5673 0.7081 0.6172
Pr 0.0720 0.7331 0.8618
Ho 0.8451 0.1879 0.0181
Ho 0.2018 0.9752 0.5522
Ho 0.7311 0.9926 0.7634
Ho 0.3338 0.2172 0.2452
Ho 0.8745 0.2418 0.4397
Ho 0.3164 0.1659 0.8174
Ho 0.4579 0.4066 0.4895
Ho 0.0438 0.5692 0.2887
Ho 0.0026 0.4811 0.1448
Ho 0.4575 0.4585 0.9257
Ho 0.5425 0.5415 0.0743
Ho 0.9974 0.5189 0.8552
Ho 0.9562 0.4308 0.7113
Ho 0.5421 0.5934 0.5105
Ho 0.6836 0.8341 0.1826
Ho 0.1255 0.7582 0.5603
Ho 0.6662 0.7828 0.7548
Ho 0.2689 0.0074 0.2366
Ho 0.7982 0.0248 0.4478
Ho 0.1549 0.8121 0.9819

---

What should be chosen as the most stable of them? Choose a).